MgNb2NiH | PBE | optimized geometry

Results
total energy	-6.16	eV per atom
mass density	6.61	g/cm3

a = 4.0941 Å, b = 4.0941 Å, c = 4.0428 Å
α = 90.00°, β = 90.00°, γ = 90.00°
Atoms (fractional coordinates):
Mg1 0.0000 0.0000 0.0000
Nb1 0.0000 0.5000 0.5000
Nb2 0.5000 0.0000 0.5000
Ni1 0.5000 0.5000 0.0000
H1 0.5000 0.5000 0.5000